(1)
Material: RbLiSbMo2
Method: DFT, GGA-PBE
State: optimized geometry

a b c (Å): 4.9073 4.9073 4.7168
angles (deg): 90.00 90.00 90.00
With the nearest neighbours (Å) after each atom.
Fractional coordinates of all 5 atoms:
Rb 0.0000 0.0000 0.0000  2 Li 2.36
Li 0.0000 0.0000 0.5000  2 Rb 2.36, 4 Mo 2.45
Sb 0.5000 0.5000 0.0000  8 Mo 3.40, 4 Rb 3.47
Mo 0.0000 0.5000 0.5000  2 Li 2.45
Mo 0.5000 0.0000 0.5000  2 Li 2.45

Values from the calculation:
**E_tot**: -4.116 eV per atom
**Volume**: 22.7 A^3/atom
**Space group**: P4/mmm, No. 123
**Density of states at the Fermi level**: 4.42 states/eV/cell



(2)
Material: Rb2LiMoSe4
Method: DFT, GGA-PBE
State: optimized geometry

a b c (Å): 14.3366 12.8831 7.6141
angles (deg): 84.62 63.46 31.92
With the nearest neighbours (Å) after each atom.
Fractional coordinates of all 16 atoms:
Rb 0.0543 0.0543 0.6957  8 Se 3.62-3.83
Rb 0.3043 0.3043 0.9457  8 Se 3.62-3.83
Rb 0.6957 0.6957 0.0543  8 Se 3.62-3.83
Rb 0.9457 0.9457 0.3043  8 Se 3.62-3.83
Li 0.1250 0.1250 0.1250  4 Se 2.54
Li 0.8750 0.8750 0.8750  4 Se 2.54
Mo 0.3750 0.3750 0.3750  4 Se 2.38
Mo 0.6250 0.6250 0.6250  4 Se 2.38
Se 0.0069 0.3517 0.4407  1 Mo 2.38, 1 Li 2.54
Se 0.2992 0.5593 0.6483  1 Mo 2.38, 1 Li 2.54
Se 0.3517 0.0069 0.7008  1 Mo 2.38, 1 Li 2.54
Se 0.4407 0.7008 0.0069  1 Mo 2.38, 1 Li 2.54
Se 0.5593 0.2992 0.9931  1 Mo 2.38, 1 Li 2.54
Se 0.6483 0.9931 0.2992  1 Mo 2.38, 1 Li 2.54
Se 0.7008 0.4407 0.3517  1 Mo 2.38, 1 Li 2.54
Se 0.9931 0.6483 0.5593  1 Mo 2.38, 1 Li 2.54

Values from the calculation:
**E_tot**: -4.456 eV per atom
**Volume**: 33.2 A^3/atom
**Space group**: Fddd, No. 70
**Density of states at the Fermi level**: 7.23 states/eV/cell



(3)
Material: Rb2LiTeMo
Method: DFT, GGA-PBE
State: optimized geometry

a b c (Å): 6.8267 6.8267 4.8472
angles (deg): 90.00 90.00 90.00
With the nearest neighbours (Å) after each atom.
Fractional coordinates of all 5 atoms:
Rb 0.0000 0.5000 0.0000  2 Li 3.41
Rb 0.5000 0.0000 0.0000  2 Li 3.41
Li 0.0000 0.0000 0.0000  2 Te 2.42
Te 0.0000 0.0000 0.5000  2 Li 2.42
Mo 0.5000 0.5000 0.5000  8 Rb 4.19

Values from the calculation:
**E_tot**: -2.998 eV per atom
**Volume**: 45.2 A^3/atom
**Space group**: P4/mmm, No. 123
**Density of states at the Fermi level**: 0.95 states/eV/cell



(4)
Material: LiReMo2
Method: DFT, GGA-PBE
State: optimized geometry

a b c (Å): 9.0328 2.5883 5.1721
angles (deg): 90.00 92.50 90.00
With the nearest neighbours (Å) after each atom.
Fractional coordinates of all 8 atoms:
Li 0.0000 0.0000 0.0000  2 Li 2.59, 5 Mo 2.61-2.86, 3 Re 2.65-2.83
Li 0.5000 0.5000 0.0000  2 Li 2.59, 5 Mo 2.61-2.86, 3 Re 2.65-2.83
Re 0.2475 0.5000 0.2420  2 Re 2.59, 5 Mo 2.64-2.88, 3 Li 2.65-2.83
Re 0.7475 0.0000 0.2420  2 Re 2.59, 5 Mo 2.64-2.88, 3 Li 2.65-2.83
Mo 0.9996 0.5000 0.4941  5 Mo 2.59-2.90, 3 Re 2.64-2.88, 2 Li 2.86
Mo 0.2492 0.0000 0.7619  5 Mo 2.59-2.90, 3 Li 2.61-2.84, 2 Re 2.80
Mo 0.4996 0.0000 0.4941  5 Mo 2.59-2.90, 3 Re 2.64-2.88, 2 Li 2.86
Mo 0.7492 0.5000 0.7619  5 Mo 2.59-2.90, 3 Li 2.61-2.84, 2 Re 2.80

Values from the calculation:
**Volume**: 15.1 A^3/atom
**Energy relative to the elements**: 0.35 eV per atom
**Space group**: Cm, No. 8
**Relative energy among the computed polymorphs**: 142 meV/atom
**Density of states at the Fermi level**: 6.41 states/eV/cell



(5)
Material: LiReMo2
Method: DFT, GGA-PBE
State: optimized geometry

a b c (Å): 3.1039 4.4031 8.7400
angles (deg): 90.00 90.00 90.00
With the nearest neighbours (Å) after each atom.
Fractional coordinates of all 8 atoms:
Li 0.0000 0.0000 0.0000  6 Mo 2.69-2.77, 2 Re 2.73
Li 0.5000 0.5000 0.5000  6 Mo 2.69-2.77, 2 Re 2.73
Re 0.0000 0.5000 0.2434  6 Mo 2.60-2.70, 2 Li 2.73
Re 0.5000 0.0000 0.7434  6 Mo 2.60-2.70, 2 Li 2.73
Mo 0.0000 0.0000 0.5049  2 Re 2.60, 2 Mo 2.63, 4 Li 2.69
Mo 0.0000 0.5000 0.7623  2 Mo 2.63, 4 Re 2.70, 2 Li 2.77
Mo 0.5000 0.0000 0.2623  2 Mo 2.63, 4 Re 2.70, 2 Li 2.77
Mo 0.5000 0.5000 0.0049  2 Re 2.60, 2 Mo 2.63, 4 Li 2.69

Values from the calculation:
**Volume**: 14.9 A^3/atom
**Energy relative to the elements**: 0.29 eV per atom
**Space group**: Imm2, No. 44
**Relative energy among the computed polymorphs**: 84 meV/atom
**Density of states at the Fermi level**: 5.38 states/eV/cell



(6)
Material: LiReMo2
Method: DFT, GGA-PBE
State: optimized geometry

a b c (Å): 6.1659 6.1659 6.1659
angles (deg): 90.00 90.00 90.00
With the nearest neighbours (Å) after each atom.
Fractional coordinates of all 16 atoms:
Li 0.0000 0.0000 0.0000  4 Mo 2.67, 4 Re 2.67
Li 0.0000 0.5000 0.5000  4 Mo 2.67, 4 Re 2.67
Li 0.5000 0.0000 0.5000  4 Mo 2.67, 4 Re 2.67
Li 0.5000 0.5000 0.0000  4 Mo 2.67, 4 Re 2.67
Re 0.2500 0.2500 0.7500  4 Mo 2.67, 4 Li 2.67
Re 0.2500 0.7500 0.2500  4 Mo 2.67, 4 Li 2.67
Re 0.7500 0.2500 0.2500  4 Mo 2.67, 4 Li 2.67
Re 0.7500 0.7500 0.7500  4 Mo 2.67, 4 Li 2.67
Mo 0.0000 0.0000 0.5000  4 Mo 2.67, 4 Re 2.67
Mo 0.0000 0.5000 0.0000  4 Mo 2.67, 4 Re 2.67
Mo 0.2500 0.2500 0.2500  4 Mo 2.67, 4 Li 2.67
Mo 0.2500 0.7500 0.7500  4 Mo 2.67, 4 Li 2.67
Mo 0.5000 0.0000 0.0000  4 Mo 2.67, 4 Re 2.67
Mo 0.5000 0.5000 0.5000  4 Mo 2.67, 4 Re 2.67
Mo 0.7500 0.2500 0.7500  4 Mo 2.67, 4 Li 2.67
Mo 0.7500 0.7500 0.2500  4 Mo 2.67, 4 Li 2.67

Values from the calculation:
**Volume**: 14.7 A^3/atom
**Energy relative to the elements**: 0.34 eV per atom
**Space group**: F-43m, No. 216
**Relative energy among the computed polymorphs**: 131 meV/atom
**Density of states at the Fermi level**: 11.03 states/eV/cell